[1]
This record from Alexandria via LeMat-Bulk describes a relaxed Rb2UAlS5 crystal. The functional is PBE.

```
Rb2UAlS5
1.0
-0.805 1.693 -3.565
-5.923 -7.677 -0.033
-10.413 8.007 6.156
S Rb Al U
10 4 2 2
direct
0.939 0.878 0.515
0.668 0.336 0.508
0.297 0.595 0.645
0.691 0.382 0.902
0.309 0.618 0.402
0.061 0.122 0.015
0.703 0.405 0.145
0.509 0.017 0.800
0.491 0.983 0.300
0.332 0.664 0.008
0.894 0.789 0.176
0.106 0.211 0.676
0.125 0.250 0.326
0.875 0.750 0.826
0.431 0.861 0.424
0.569 0.139 0.924
0.204 0.409 0.028
0.796 0.591 0.528
```

Results
Fermi-level density of states: 4.9 states/eV/f.u.
raw total energy: -5.4250 eV per atom
space-group type: No. 36
total magnetization: 2.0 Bohr magnetons per cell

[2]
This record from Alexandria via LeMat-Bulk describes a relaxed La2Nd3Dy8 crystal. The functional is PBE.

```
La2Nd3Dy8
1.0
5.920 2.022 0.411
-0.722 4.504 4.265
-5.251 -3.484 13.448
Dy Nd La
8 3 2
direct
0.614 0.462 0.231
0.078 0.309 0.154
0.848 0.383 0.693
0.386 0.538 0.769
0.922 0.691 0.846
0.152 0.617 0.307
0.309 0.230 0.617
0.691 0.770 0.383
0.460 0.847 0.923
0.000 0.000 0.000
0.540 0.153 0.077
0.770 0.077 0.538
0.230 0.923 0.462
```

Results
Fermi-level density of states: 18.4 states/eV/f.u.
space-group type: No. 2
total magnetization: 0.0 Bohr magnetons per cell
energy relative to the elements: 23 meV per atom

[3]
This record from Alexandria via LeMat-Bulk describes a relaxed BeNbCoPd2 crystal. The functional is PBE.

```
BeNbCoPd2
1.0
-3.679 2.191 2.124
-2.050 -3.897 0.469
2.101 -0.594 4.252
Co Pd Be Nb
1 2 1 1
direct
0.500 0.500 0.500
0.500 0.000 0.000
0.000 0.000 0.500
0.000 0.500 0.000
0.000 0.000 0.000
```

Results
Fermi-level density of states: 2.7 states/eV/f.u.
space-group type: No. 123
total magnetization: 2.2 Bohr magnetons per cell
energy relative to the elements: 1485 meV per atom

[4]
This record from Alexandria via LeMat-Bulk describes a relaxed Cs12Na3H5 crystal. The functional is PBE.

```
Cs12Na3H5
1.0
-8.561 -15.572 5.047
-0.830 1.809 -18.365
17.674 -0.686 5.327
Cs H Na
48 20 12
direct
0.690 0.581 0.186
0.186 0.105 0.997
0.686 0.190 0.581
0.919 0.105 0.609
0.609 0.605 0.919
0.497 0.810 0.891
0.891 0.310 0.497
0.605 0.997 0.686
0.190 0.686 0.081
0.109 0.690 0.503
0.997 0.391 0.310
0.814 0.919 0.310
0.186 0.081 0.690
0.605 0.609 0.419
0.891 0.581 0.895
0.105 0.919 0.109
0.895 0.814 0.503
0.395 0.003 0.314
0.997 0.605 0.186
0.105 0.186 0.497
0.109 0.419 0.105
0.081 0.186 0.190
0.609 0.003 0.190
0.503 0.314 0.895
0.081 0.895 0.391
0.190 0.503 0.609
0.810 0.314 0.919
0.003 0.395 0.814
0.395 0.391 0.581
0.310 0.891 0.997
0.503 0.190 0.109
0.003 0.609 0.690
0.581 0.690 0.686
0.419 0.109 0.605
0.391 0.395 0.081
0.314 0.503 0.395
0.391 0.997 0.810
0.314 0.810 0.419
0.919 0.814 0.810
0.686 0.497 0.605
0.497 0.686 0.105
0.581 0.891 0.395
0.895 0.081 0.891
0.814 0.895 0.003
0.419 0.310 0.314
0.810 0.497 0.391
0.310 0.419 0.814
0.690 0.109 0.003
0.125 0.375 0.250
0.125 0.750 0.375
0.750 0.125 0.875
0.500 0.000 0.500
0.250 0.375 0.625
0.000 0.500 0.500
0.250 0.875 0.125
0.000 0.000 0.000
0.875 0.250 0.625
0.500 0.500 0.500
0.750 0.625 0.375
0.000 0.000 0.500
0.375 0.125 0.750
0.625 0.875 0.250
0.500 0.500 0.000
0.000 0.500 0.000
0.500 0.000 0.000
0.375 0.250 0.125
0.625 0.750 0.875
0.875 0.625 0.750
0.750 0.875 0.625
0.250 0.125 0.375
0.250 0.625 0.875
0.750 0.375 0.125
0.875 0.750 0.125
0.125 0.875 0.750
0.625 0.250 0.375
0.125 0.250 0.875
0.375 0.750 0.625
0.625 0.375 0.750
0.875 0.125 0.250
0.375 0.625 0.250
```

Results
Fermi-level density of states: 14.6 states/eV/f.u.
raw total energy: -1.5466 eV per atom
space-group type: No. 230
total magnetization: 0.6 Bohr magnetons per cell

[5]
This record from Alexandria via LeMat-Bulk describes a relaxed KZn2Pb crystal. The functional is PBE.

```
KZn2Pb
1.0
9.396 -0.242 -0.143
8.669 3.631 -0.143
8.669 1.627 3.250
Pb Zn K
1 2 1
direct
0.750 0.750 0.750
0.488 0.488 0.488
0.012 0.012 0.012
0.250 0.250 0.250
```

Results
Fermi-level density of states: 2.0 states/eV/f.u.
space-group type: No. 166
total magnetization: 0.0 Bohr magnetons per cell
energy relative to the elements: 259 meV per atom

[6]
This record from Alexandria via LeMat-Bulk describes a relaxed MgTe2Au crystal. The functional is PBE.

```
MgTe2Au
1.0
6.414 0.000 0.000
0.000 6.414 0.000
3.207 3.207 6.428
Te Au Mg
4 2 2
direct
0.113 0.625 0.250
0.375 0.363 0.750
0.875 0.887 0.750
0.637 0.125 0.250
0.000 0.000 0.000
0.750 0.250 0.500
0.250 0.750 0.500
0.500 0.500 0.000
```

Results
Fermi-level density of states: 4.8 states/eV/f.u.
raw total energy: -3.1117 eV per atom
space-group type: No. 122
total magnetization: 0.0 Bohr magnetons per cell